Here is Fe2PO2 after structural relaxation from the Alexandria database. Energies are from PBE with a Hubbard U.

Summary:
- VASP energy: -5.576 eV/atom
- E above lowest polymorph: 29.0 meV per atom
- Crystal system: tetragonal
- Density of states at the Fermi level: 0.2926 states/eV per atom
- Theoretical density: 5.075 g/cm³

Cell: 6.489 6.489 2.714 Å, 90.00 90.00 90.00°
Space group P4/mbm (No. 127)
One atom of each set of equivalent atoms:
1 Fe 0.158 0.342 0.000
2 P 0.000 0.000 0.500
3 O 0.141 0.641 0.500